Dy5Ho3Er3 | GGA-PBE | optimized geometry

a b c (Å): 3.409 11.010 11.010
angles (deg): 120.00 90.00 90.00
Fractional coordinates of all 11 atoms:
Dy: 0.500 0.333 0.667
Dy: 0.500 0.667 0.333
Dy: 0.500 0.160 0.160
Dy: 0.500 0.000 0.840
Dy: 0.500 0.840 0.000
Ho: 0.500 0.659 0.659
Ho: 0.500 0.000 0.341
Ho: 0.500 0.341 0.000
Er: 0.000 0.406 0.406
Er: 0.000 0.594 0.000
Er: 0.000 0.000 0.594

Properties
Crystal system: hexagonal
DFT formation energy in eV/atom: 0.362